{
  "formula": "Na2MnAuO4",
  "functional": "GGA+U",
  "state": "relaxed",
  "total_energy_ev_per_atom": -5.170,
  "space_group": "I-4",
  "cell": [[5.8641, 0.0000, 0.0000], [0.0000, 5.8641, 0.0000], [0.0000, 0.0000, 6.3714]],
  "species": ["Na", "Na", "Na", "Na", "Mn", "Mn", "Au", "Au", "O", "O", "O", "O", "O", "O", "O", "O"],
  "frac_coords": [[0.0000, 0.0000, 0.0000], [0.0000, 0.5000, 0.2500], [0.5000, 0.0000, 0.7500], [0.5000, 0.5000, 0.5000], [0.0000, 0.5000, 0.7500], [0.5000, 0.0000, 0.2500], [0.0000, 0.0000, 0.5000], [0.5000, 0.5000, 0.0000], [0.1545, 0.6917, 0.5372], [0.1917, 0.3455, 0.9628], [0.3083, 0.1545, 0.4628], [0.3455, 0.8083, 0.0372], [0.6545, 0.1917, 0.0372], [0.6917, 0.8455, 0.4628], [0.8083, 0.6545, 0.9628], [0.8455, 0.3083, 0.5372]]
}